1.
# BaGeSe3 (PBE, optimized geometry)
data_BaGeSe3
_chemical_formula_sum 'Ba1 Ge1 Se3'
_cell_length_a 6.0522
_cell_length_b 6.0522
_cell_length_c 6.0522
_cell_angle_alpha 90.00
_cell_angle_beta 90.00
_cell_angle_gamma 90.00
_space_group_name_H-M_alt 'P m -3 m'
_space_group_IT_number 221
_space_group_name_Hall '-P 4 2 3'
loop_
_atom_site_label
_atom_site_fract_x
_atom_site_fract_y
_atom_site_fract_z
Ba1 0.0000 0.0000 0.0000
Ge1 0.5000 0.5000 0.5000
Se1 0.0000 0.0000 0.5000
# N(E_F) in states/eV/f.u.: 4.767
# Final energy in Ha/atom: -0.1068
# Total magnetization in μB per formula unit: 2.0

2.
# BaGe2Se4 (PBE, optimized geometry)
data_BaGe2Se4
_chemical_formula_sum 'Ba2 Ge4 Se8'
_cell_length_a 8.2120
_cell_length_b 8.2120
_cell_length_c 6.3009
_cell_angle_alpha 90.00
_cell_angle_beta 90.00
_cell_angle_gamma 90.00
_space_group_name_H-M_alt 'I 4/m'
_space_group_IT_number 87
_space_group_name_Hall '-I 4'
loop_
_atom_site_label
_atom_site_fract_x
_atom_site_fract_y
_atom_site_fract_z
Ba1 0.0000 0.0000 0.0000
Ge1 0.0000 0.5000 0.2500
Se1 0.1443 0.6971 0.5000
# N(E_F) in states/eV/f.u.: 1.480
# Final energy in Ha/atom: -0.1565
# Total magnetization in μB per formula unit: 0.0